The following is a DFT calculation (GGA-PBE) of an optimized crystal structure of AcMgPdRh.

a b c (Å): 4.980 4.980 4.980
angles (deg): 60.00 60.00 60.00
Fractional coordinates of all 4 atoms:
Mg (0.750, 0.750, 0.750)
Rh (0.500, 0.500, 0.500)
Ac (0.250, 0.250, 0.250)
Pd (0.000, 0.000, 0.000)

uncorrected energy	-20.23	eV/f.u.
calculated volume	21.83	A^3/atom
space group	No. 216
ΔH_f (0 K)	-0.496	eV per atom

The following is a DFT calculation (GGA-PBE) of an optimized crystal structure of Rb2AcInO4.

a b c (Å): 3.694 6.224 6.952
angles (deg): 107.97 90.00 90.00
Fractional coordinates of all 8 atoms:
O (0.500, 0.209, 0.184)
O (0.500, 0.791, 0.816)
O (0.000, 0.246, 0.817)
O (0.000, 0.754, 0.183)
In (0.000, 0.000, 0.000)
Ac (0.500, 0.500, 0.000)
Rb (0.500, 0.000, 0.500)
Rb (0.000, 0.500, 0.500)

uncorrected energy	-44.00	eV/f.u.
E_form (uncorrected)	-185.59	kJ per mole of atoms
calculated volume	19.00	A^3/atom
space group	No. 10

The following is a DFT calculation (GGA-PBE) of an optimized crystal structure of RbHg3Pt.

a b c (Å): 5.487 6.811 9.409
angles (deg): 86.30 107.13 73.44
Fractional coordinates of all 10 atoms:
Hg (0.054, 0.912, 0.371)
Hg (0.020, 0.740, 0.006)
Hg (0.320, 0.971, 0.861)
Hg (0.281, 0.159, 0.190)
Hg (0.197, 0.631, 0.650)
Hg (0.761, 0.408, 0.888)
Pt (0.731, 0.082, 0.084)
Pt (0.277, 0.388, 0.914)
Rb (0.691, 0.545, 0.265)
Rb (0.619, 0.086, 0.609)

uncorrected energy	-8.69	eV/f.u.
calculated volume	31.79	A^3/atom
space group	No. 1
ΔH_f (0 K)	-0.155	eV per atom

The following is a DFT calculation (GGA-PBE) of an optimized crystal structure of LaTh2In.

a b c (Å): 5.021 4.966 4.966
angles (deg): 90.00 90.00 90.00
Fractional coordinates of all 4 atoms:
La (0.500, 0.000, 0.000)
Th (0.000, 0.000, 0.500)
Th (0.000, 0.500, 0.000)
In (0.500, 0.500, 0.500)

uncorrected energy	-23.21	eV/f.u.
calculated volume	30.95	A^3/atom
space group	No. 123
ΔH_f (0 K)	-0.177	eV per atom

The following is a DFT calculation (GGA-PBE) of an optimized crystal structure of CuP2H.

a b c (Å): 4.027 4.027 4.027
angles (deg): 60.00 60.00 60.00
Fractional coordinates of all 4 atoms:
P (0.750, 0.750, 0.750)
P (0.250, 0.250, 0.250)
Cu (0.500, 0.500, 0.500)
H (0.000, 0.000, 0.000)

uncorrected energy	-15.62	eV/f.u.
calculated volume	11.55	A^3/atom
space group	No. 225

The following is a DFT calculation (GGA-PBE) of an optimized crystal structure of La2NbNiAg.

a b c (Å): 5.619 4.518 5.619
angles (deg): 90.00 90.00 90.00
Fractional coordinates of all 5 atoms:
Ni (0.000, 0.500, 0.000)
Ag (0.500, 0.500, 0.500)
La (0.500, 0.000, 0.000)
La (0.000, 0.000, 0.500)
Nb (0.000, 0.000, 0.000)

uncorrected energy	-26.18	eV/f.u.
calculated volume	28.53	A^3/atom
space group	No. 123
ΔH_f (0 K)	0.475	eV per atom

The following is a DFT calculation (GGA-PBE) of an optimized crystal structure of Ho3Ga6Pt5.

a b c (Å): 4.285 9.353 12.684
angles (deg): 90.00 90.00 90.00
Fractional coordinates of all 28 atoms:
Ho (0.500, 0.749, 0.201)
Ho (0.500, 0.746, 0.500)
Ho (0.500, 0.749, 0.799)
Ho (0.000, 0.251, 0.701)
Ho (0.000, 0.251, 0.299)
Ho (0.000, 0.254, 0.000)
Pt (0.500, 0.209, 0.500)
Pt (0.500, 0.468, 0.382)
Pt (0.000, 0.532, 0.882)
Pt (0.000, 0.791, 0.000)
Pt (0.500, 0.468, 0.618)
Pt (0.000, 0.869, 0.653)
Pt (0.000, 0.532, 0.118)
Pt (0.500, 0.131, 0.153)
Pt (0.500, 0.131, 0.847)
Pt (0.000, 0.869, 0.347)
Ga (0.500, 0.581, 0.000)
Ga (0.000, 0.419, 0.500)
Ga (0.500, 0.023, 0.345)
Ga (0.000, 0.977, 0.155)
Ga (0.000, 0.595, 0.321)
Ga (0.000, 0.049, 0.500)
Ga (0.500, 0.405, 0.179)
Ga (0.000, 0.595, 0.679)
Ga (0.500, 0.405, 0.821)
Ga (0.500, 0.023, 0.655)
Ga (0.500, 0.951, 0.000)
Ga (0.000, 0.977, 0.845)

uncorrected energy	-75.71	eV/f.u.
calculated volume	18.16	A^3/atom
space group	No. 59
ΔH_f (0 K)	-0.972	eV per atom

The following is a DFT calculation (GGA-PBE) of an optimized crystal structure of Sm4SiSbTe2.

a b c (Å): 4.385 7.679 7.635
angles (deg): 70.85 90.00 90.00
Fractional coordinates of all 8 atoms:
Sm (0.000, 0.732, 0.742)
Sm (0.500, 0.726, 0.270)
Sm (0.000, 0.268, 0.258)
Sm (0.500, 0.274, 0.730)
Sb (0.500, 0.500, 0.000)
Te (0.000, 0.000, 0.000)
Te (0.500, 0.000, 0.500)
Si (0.000, 0.500, 0.500)

uncorrected energy	-44.60	eV/f.u.
E_form (uncorrected)	-119.40	kJ per mole of atoms
calculated volume	30.36	A^3/atom
space group	No. 10

The following is a DFT calculation (GGA-PBE) of an optimized crystal structure of TaFePtRh.

a b c (Å): 3.827 3.871 3.944
angles (deg): 90.00 90.00 90.00
Fractional coordinates of all 4 atoms:
Ta (0.000, 0.500, 0.500)
Rh (0.500, 0.000, 0.500)
Fe (0.500, 0.500, 0.000)
Pt (0.000, 0.000, 0.000)

uncorrected energy	-35.79	eV/f.u.
calculated volume	14.61	A^3/atom
space group	No. 47
ΔH_f (0 K)	-0.520	eV per atom

The following is a DFT calculation (GGA-PBE) of an optimized crystal structure of TlS2.

a b c (Å): 4.439 4.439 5.673
angles (deg): 112.83 112.83 90.02
Fractional coordinates of all 3 atoms:
S (0.105, 0.105, 0.212)
S (0.895, 0.895, 0.788)
Tl (0.500, 0.500, 0.000)

uncorrected energy	-10.53	eV/f.u.
E_form (uncorrected)	3.04	kJ per mole of atoms
calculated volume	31.14	A^3/atom
space group	No. 12

The following is a DFT calculation (GGA-PBE) of an optimized crystal structure of K2SiSn.

a b c (Å): 5.720 5.720 5.720
angles (deg): 60.00 60.00 60.00
Fractional coordinates of all 4 atoms:
Si (0.000, 0.000, 0.000)
K (0.750, 0.750, 0.750)
K (0.250, 0.250, 0.250)
Sn (0.500, 0.500, 0.500)

uncorrected energy	-9.99	eV/f.u.
E_form (uncorrected)	39.24	kJ per mole of atoms
calculated volume	33.09	A^3/atom
space group	No. 225

The following is a DFT calculation (GGA-PBE) of an optimized crystal structure of TiCo3H.

a b c (Å): 4.156 5.098 4.591
angles (deg): 90.00 90.66 90.00
Fractional coordinates of all 10 atoms:
Co (0.755, 0.250, 0.676)
Co (0.245, 0.750, 0.324)
Co (0.245, 0.498, 0.839)
Co (0.245, 0.002, 0.839)
Co (0.755, 0.502, 0.161)
Co (0.755, 0.998, 0.161)
H (0.487, 0.750, 0.006)
H (0.513, 0.250, 0.994)
Ti (0.236, 0.250, 0.361)
Ti (0.764, 0.750, 0.639)

uncorrected energy	-33.67	eV/f.u.
calculated volume	9.73	A^3/atom
space group	No. 11

Q: Look up the calculated volume of the fifth one.
A: 11.55 A^3/atom

Repeat the twelfth record exactly.
The following is a DFT calculation (GGA-PBE) of an optimized crystal structure of TiCo3H.

a b c (Å): 4.156 5.098 4.591
angles (deg): 90.00 90.66 90.00
Fractional coordinates of all 10 atoms:
Co (0.755, 0.250, 0.676)
Co (0.245, 0.750, 0.324)
Co (0.245, 0.498, 0.839)
Co (0.245, 0.002, 0.839)
Co (0.755, 0.502, 0.161)
Co (0.755, 0.998, 0.161)
H (0.487, 0.750, 0.006)
H (0.513, 0.250, 0.994)
Ti (0.236, 0.250, 0.361)
Ti (0.764, 0.750, 0.639)

uncorrected energy	-33.67	eV/f.u.
calculated volume	9.73	A^3/atom
space group	No. 11

Please write out number 9 again, unchanged.
The following is a DFT calculation (GGA-PBE) of an optimized crystal structure of TaFePtRh.

a b c (Å): 3.827 3.871 3.944
angles (deg): 90.00 90.00 90.00
Fractional coordinates of all 4 atoms:
Ta (0.000, 0.500, 0.500)
Rh (0.500, 0.000, 0.500)
Fe (0.500, 0.500, 0.000)
Pt (0.000, 0.000, 0.000)

uncorrected energy	-35.79	eV/f.u.
calculated volume	14.61	A^3/atom
space group	No. 47
ΔH_f (0 K)	-0.520	eV per atom

Q: Which value of uncorrected energy does entry 8 give?
A: -44.60 eV/f.u.